{
  "formula": "Cs2RbSrI4",
  "functional": "PBE",
  "state": "relaxed",
  "lattice": [[9.290, 0.000, 0.000], [0.000, 5.115, 0.000], [-2.825, 0.000, 9.338]],
  "species": ["Cs", "Cs", "Rb", "Sr", "I", "I", "I", "I"],
  "fractional_positions": [[0.000, 0.000, 0.000], [0.500, 0.500, 0.000], [0.000, 0.500, 0.500], [0.500, 0.000, 0.500], [0.271, 0.000, 0.710], [0.297, 0.500, 0.306], [0.703, 0.500, 0.694], [0.729, 0.000, 0.290]],
  "total_magnetization_mub_per_fu": 0.2,
  "sg": "P2/m (10)"
}

=====

{
  "formula": "Sm2PuTe4",
  "functional": "PBE",
  "state": "relaxed",
  "lattice": [[-4.729, 4.729, 4.702], [4.729, -4.729, 4.702], [4.729, 4.729, -4.702]],
  "species": ["Sm", "Sm", "Sm", "Sm", "Pu", "Pu", "Te", "Te", "Te", "Te", "Te", "Te", "Te", "Te"],
  "fractional_positions": [[0.001, 0.625, 0.876], [0.375, 0.251, 0.376], [0.749, 0.125, 0.124], [0.875, 0.999, 0.624], [0.250, 0.750, 0.500], [0.500, 0.500, 0.000], [0.124, 0.374, 0.100], [0.124, 0.374, 0.600], [0.275, 0.024, 0.900], [0.475, 0.876, 0.250], [0.626, 0.226, 0.750], [0.626, 0.725, 0.750], [0.774, 0.525, 0.400], [0.976, 0.876, 0.250]],
  "total_magnetization_mub_per_fu": 6.0,
  "de_polymorph_ev_per_fu": 0.000,
  "sg": "I-42d (122)"
}

=====

Energy relative to the elements, uncorrected / eV/atom: -1.381 -1.318